# 1
## LiNdTlHg (PBE-GGA)

Data for an optimized crystal structure of LiNdTlHg.

The value obtained for the density is 9284 kg/m3.

abc: 7.3551 7.3551 7.3551
angles: 90.00 90.00 90.00
Space group F-43m (No. 216)
Unique sites:
Li (0.0000, 0.0000, 0.0000) [4 per cell]
Nd (0.0000, 0.0000, 0.5000) [4 per cell]
Tl (0.2500, 0.2500, 0.2500) [4 per cell]
Hg (0.2500, 0.2500, 0.7500) [4 per cell]

***

# 2
## Li2NiHg (PBE-GGA)

Data for an optimized crystal structure of Li2NiHg.

The value obtained for the density is 7757 kg/m3.

abc: 6.1615 6.1615 6.1615
angles: 90.00 90.00 90.00
Space group F-43m (No. 216)
Unique sites:
Li (0.0000, 0.0000, 0.0000) [4 per cell]
Li (0.2500, 0.2500, 0.2500) [4 per cell]
Ni (0.2500, 0.2500, 0.7500) [4 per cell]
Hg (0.0000, 0.0000, 0.5000) [4 per cell]

***

# 3
## LiNiHgPb (PBE-GGA)

Data for an optimized crystal structure of LiNiHgPb.

The value obtained for the density is 10127 kg/m3.

abc: 6.7715 6.7715 6.7715
angles: 90.00 90.00 90.00
Space group F-43m (No. 216)
Unique sites:
Li (0.0000, 0.0000, 0.0000) [4 per cell]
Ni (0.2500, 0.2500, 0.7500) [4 per cell]
Hg (0.2500, 0.2500, 0.2500) [4 per cell]
Pb (0.0000, 0.0000, 0.5000) [4 per cell]

***

# 4
## LiNiHgPb (PBE-GGA)

Data for an optimized crystal structure of LiNiHgPb.

The value obtained for the density is 11131 kg/m3.

abc: 6.5616 6.5616 6.5616
angles: 90.00 90.00 90.00
Space group F-43m (No. 216)
Unique sites:
Li (0.0000, 0.0000, 0.0000) [4 per cell]
Ni (0.0000, 0.0000, 0.5000) [4 per cell]
Hg (0.2500, 0.2500, 0.7500) [4 per cell]
Pb (0.2500, 0.2500, 0.2500) [4 per cell]

***

# 5
## Li4NiSn2Hg (PBE-GGA)

Data for an optimized crystal structure of Li4NiSn2Hg.

The value obtained for the density is 6568 kg/m3.

abc: 4.4802 4.4802 6.6061
angles: 90.00 90.00 90.00
Space group P-4m2 (No. 115)
Unique sites:
Li (0.0000, 0.0000, 0.0000) [1 per cell]
Li (0.0000, 0.5000, 0.2324) [2 per cell]
Li (0.5000, 0.5000, 0.5000) [1 per cell]
Ni (0.5000, 0.5000, 0.0000) [1 per cell]
Sn (0.0000, 0.5000, 0.7866) [2 per cell]
Hg (0.0000, 0.0000, 0.5000) [1 per cell]

***

# 6
## LiTaNiHg (PBE-GGA)

Data for an optimized crystal structure of LiTaNiHg.

The value obtained for the density is 12756 kg/m3.

abc: 6.1522 6.1522 6.1522
angles: 90.00 90.00 90.00
Space group F-43m (No. 216)
Unique sites:
Li (0.0000, 0.0000, 0.0000) [4 per cell]
Ta (0.2500, 0.2500, 0.7500) [4 per cell]
Ni (0.0000, 0.0000, 0.5000) [4 per cell]
Hg (0.2500, 0.2500, 0.2500) [4 per cell]

***

# 7
## LiTaNiHg (PBE-GGA)

Data for an optimized crystal structure of LiTaNiHg.

The value obtained for the density is 11806 kg/m3.

abc: 6.3129 6.3129 6.3129
angles: 90.00 90.00 90.00
Space group F-43m (No. 216)
Unique sites:
Li (0.0000, 0.0000, 0.0000) [4 per cell]
Ta (0.0000, 0.0000, 0.5000) [4 per cell]
Ni (0.2500, 0.2500, 0.2500) [4 per cell]
Hg (0.2500, 0.2500, 0.7500) [4 per cell]

***

# 8
## LiTaNiHg (PBE-GGA)

Data for an optimized crystal structure of LiTaNiHg.

The value obtained for the density is 12122 kg/m3.

abc: 6.2576 6.2576 6.2576
angles: 90.00 90.00 90.00
Space group F-43m (No. 216)
Unique sites:
Li (0.0000, 0.0000, 0.0000) [4 per cell]
Ta (0.2500, 0.2500, 0.7500) [4 per cell]
Ni (0.2500, 0.2500, 0.2500) [4 per cell]
Hg (0.0000, 0.0000, 0.5000) [4 per cell]

***

Number 1: DFT total energy -2.742 eV per atom, spin magnetization 0.001 μB per atom. Number 2: DFT total energy -2.571 eV per atom, spin magnetization 0.002 μB per atom. Number 3: DFT total energy -2.773 eV per atom, spin magnetization 0.001 μB per atom. Number 4: DFT total energy -2.939 eV per atom, spin magnetization 0.001 μB per atom. Number 5: DFT total energy -3.042 eV per atom, spin magnetization 0.001 μB per atom. Number 6: DFT total energy -4.843 eV per atom, spin magnetization 0.000 μB per atom. Number 7: DFT total energy -4.715 eV per atom, spin magnetization 0.000 μB per atom. Number 8: DFT total energy -4.504 eV per atom, spin magnetization 0.002 μB per atom.